DFT (GGA-PBE) results for a relaxed structure of PaTiGaMo.

Calculated values
- uncorrected energy (hartree per atom) = -0.2876
- formation enthalpy at 0 K (eV per atom) = -0.01
- size of the total moment (μB/cell) = 0.4
- space-group type = F-43m (216)

a b c (Å): 4.7508 4.7508 4.7508
angles (deg): 60.00 60.00 60.00
Atoms (fractional coordinates):
1 Pa 0.0000 0.0000 0.0000
2 Ti 0.5000 0.5000 0.5000
3 Ga 0.7500 0.7500 0.7500
4 Mo 0.2500 0.2500 0.2500

=====

DFT (GGA-PBE) results for a relaxed structure of UPaGaMo.

Calculated values
- uncorrected energy (hartree per atom) = -0.3109
- formation enthalpy at 0 K (eV per atom) = 0.20
- size of the total moment (μB/cell) = 1.9
- space-group type = F-43m (216)

a b c (Å): 4.9231 4.9231 4.9231
angles (deg): 60.00 60.00 60.00
Atoms (fractional coordinates):
1 U 0.0000 0.0000 0.0000
2 Pa 0.5000 0.5000 0.5000
3 Ga 0.2500 0.2500 0.2500
4 Mo 0.7500 0.7500 0.7500

=====

DFT (GGA-PBE) results for a relaxed structure of Ga2Mo2Pb.

Calculated values
- uncorrected energy (hartree per atom) = -0.2146
- formation enthalpy at 0 K (eV per atom) = 0.45
- size of the total moment (μB/cell) = 0.0
- space-group type = P4/mbm (127)

a b c (Å): 7.1587 7.1587 3.4293
angles (deg): 90.00 90.00 90.00
Atoms (fractional coordinates):
1 Ga 0.1247 0.3753 0.0000
2 Ga 0.3753 0.8753 0.0000
3 Ga 0.6247 0.1247 0.0000
4 Ga 0.8753 0.6247 0.0000
5 Mo 0.1693 0.6693 0.5000
6 Mo 0.3307 0.1693 0.5000
7 Mo 0.6693 0.8307 0.5000
8 Mo 0.8307 0.3307 0.5000
9 Pb 0.0000 0.0000 0.0000
10 Pb 0.5000 0.5000 0.0000

=====

DFT (GGA-PBE) results for a relaxed structure of GaMo3Pb.

Calculated values
- uncorrected energy (hartree per atom) = -0.1955
- formation enthalpy at 0 K (eV per atom) = 2.53
- size of the total moment (μB/cell) = 0.0
- space-group type = Pm-3m (221)

a b c (Å): 5.0044 5.0044 5.0044
angles (deg): 90.00 90.00 90.00
Atoms (fractional coordinates):
1 Ga 0.0000 0.0000 0.0000
2 Mo 0.0000 0.5000 0.5000
3 Mo 0.5000 0.0000 0.5000
4 Mo 0.5000 0.5000 0.0000
5 Pb 0.5000 0.5000 0.5000

=====

DFT (GGA-PBE) results for a relaxed structure of GaMo3Pb.

Calculated values
- uncorrected energy (hartree per atom) = -0.2375
- formation enthalpy at 0 K (eV per atom) = 1.38
- size of the total moment (μB/cell) = 0.0
- space-group type = Pm-3m (221)

a b c (Å): 4.6626 4.6626 4.6626
angles (deg): 90.00 90.00 90.00
Atoms (fractional coordinates):
1 Ga 0.0000 0.0000 0.0000
2 Mo 0.0000 0.0000 0.5000
3 Mo 0.0000 0.5000 0.0000
4 Mo 0.5000 0.0000 0.0000
5 Pb 0.5000 0.5000 0.5000

=====

DFT (GGA-PBE) results for a relaxed structure of Ga2MoPb.

Calculated values
- uncorrected energy (hartree per atom) = -0.1687
- formation enthalpy at 0 K (eV per atom) = 0.56
- size of the total moment (μB/cell) = 0.0
- space-group type = I-42d (122)

a b c (Å): 6.2568 6.2568 6.2568
angles (deg): 101.64 101.64 126.62
Atoms (fractional coordinates):
1 Ga 0.0660 0.1250 0.4410
2 Ga 0.3750 0.9340 0.0590
3 Ga 0.6840 0.6250 0.5590
4 Ga 0.8750 0.3160 0.9410
5 Mo 0.0000 0.0000 0.0000
6 Mo 0.7500 0.2500 0.5000
7 Pb 0.2500 0.7500 0.5000
8 Pb 0.5000 0.5000 0.0000